20
Lattice="-2.5596 3.3497 -3.2754 -4.2746 -4.3321 -2.4052 -4.6780 1.8180 4.1995" Properties=species:S:1:pos:R:3 comment="AlFeGe2O6 (GGA+U, relaxed)" total_energy_ev_per_fu=-65.96 magmom_total_mub_per_fu=3.9 pbc="T T T"
Al -5.2098 1.0069 1.6103
Al -6.3025 -0.1712 -3.0914
Fe -4.9502 -2.9508 -2.6401
Fe -6.5620 3.7864 1.1589
Ge -6.6316 -1.6507 -0.0842
Ge -3.5214 -0.3993 -1.0595
Ge -4.8807 2.4863 -1.3969
Ge -7.9908 1.2350 -0.4216
O -8.2420 -2.3757 0.4074
O -1.9054 0.2410 -1.6421
O -3.2702 3.2113 -1.8886
O -9.6068 0.5947 0.1610
O -6.3749 -1.6008 -1.8593
O -3.6642 -2.1856 -1.1492
O -5.1373 2.4364 0.3782
O -7.8480 3.0212 -0.3320
O -7.8565 0.7996 -2.2380
O -4.8694 0.7019 -1.9645
O -3.6558 0.0360 0.7568
O -6.6428 0.1338 0.4834